[1]
Compound: LaCd2Pd2
Source: Alexandria via LeMat-Bulk
Functional: PBE-GGA
Structure: relaxed

Values from the calculation:
* offset from the most stable computed form: 97.5 meV per atom

```
LaCd2Pd2
1.0
7.712 0.000 0.000
0.000 7.712 0.000
0.000 0.000 3.624
La Cd Pd
2 4 4
Direct
0.000 0.000 0.000
0.500 0.500 0.000
0.148 0.352 0.500
0.352 0.852 0.500
0.648 0.148 0.500
0.852 0.648 0.500
0.142 0.642 0.000
0.358 0.142 0.000
0.642 0.858 0.000
0.858 0.358 0.000
```

[2]
Compound: La2Cd15Pd2
Source: Alexandria via LeMat-Bulk
Functional: PBE-GGA
Structure: relaxed

Values from the calculation:
* VASP energy: -2.010 eV/atom

```
La2Cd15Pd2
1.0
5.042 2.911 4.967
-5.042 2.911 4.967
0.000 -5.822 4.967
La Cd Pd
2 15 2
Direct
0.171 0.171 0.171
0.829 0.829 0.829
0.000 0.500 0.500
0.147 0.147 0.655
0.147 0.655 0.147
0.209 0.500 0.791
0.209 0.791 0.500
0.345 0.853 0.853
0.500 0.000 0.500
0.500 0.209 0.791
0.500 0.500 0.000
0.500 0.791 0.209
0.655 0.147 0.147
0.791 0.209 0.500
0.791 0.500 0.209
0.853 0.345 0.853
0.853 0.853 0.345
0.368 0.368 0.368
0.632 0.632 0.632
```

[3]
Compound: LaCdPd
Source: Alexandria via LeMat-Bulk
Functional: PBE-GGA
Structure: relaxed

Values from the calculation:
* VASP energy: -4.242 eV/atom

```
LaCdPd
1.0
6.904 0.000 0.000
0.000 6.904 0.000
0.000 0.000 6.904
La Cd Pd
4 4 4
Direct
0.000 0.000 0.000
0.000 0.500 0.500
0.500 0.000 0.500
0.500 0.500 0.000
0.000 0.000 0.500
0.000 0.500 0.000
0.500 0.000 0.000
0.500 0.500 0.500
0.250 0.250 0.250
0.250 0.750 0.750
0.750 0.250 0.750
0.750 0.750 0.250
```